1.
First-principles (PBE) data for a relaxed Tb2Sb2S7 crystal, as listed in the Alexandria database.

Cell and atoms, written as POSCAR:
```
Tb2Sb2S7
1.0
-1.928 7.170 4.460
1.928 -7.170 4.460
1.928 7.170 -4.460
Tb Sb S
2 2 7
Direct
0.000 0.000 0.000
0.530 0.030 0.500
0.420 0.163 0.256
0.907 0.163 0.744
0.176 0.541 0.636
0.232 0.907 0.325
0.316 0.316 0.000
0.582 0.907 0.675
0.610 0.714 0.896
0.818 0.714 0.104
0.905 0.541 0.364
```

- symmetry = Imm2 (44)
- volume (Å³ per atom) = 22.4
- uncorrected formation energy (eV per atom) = -0.829

---

2.
First-principles (PBE) data for a relaxed Tb3SbS6 crystal, as listed in the Alexandria database.

Cell and atoms, written as POSCAR:
```
Tb3SbS6
1.0
5.322 -6.706 0.000
5.322 6.706 0.000
0.000 0.000 6.822
Tb Sb S
6 2 12
Direct
0.096 0.904 0.500
0.214 0.415 0.407
0.415 0.214 0.907
0.585 0.786 0.407
0.786 0.585 0.907
0.904 0.096 0.000
0.322 0.678 0.889
0.678 0.322 0.389
0.066 0.599 0.691
0.136 0.195 0.707
0.195 0.136 0.207
0.269 0.731 0.269
0.401 0.934 0.691
0.489 0.511 0.642
0.511 0.489 0.142
0.599 0.066 0.191
0.731 0.269 0.769
0.805 0.864 0.707
0.864 0.805 0.207
0.934 0.401 0.191
```

- symmetry = Cmc2_1 (36)
- energy above the most stable polymorph in this dataset (meV/atom) = 4
- volume (Å³ per atom) = 24.3
- uncorrected formation energy (eV per atom) = -1.576

---

3.
First-principles (PBE) data for a relaxed Tb3Sb2S2 crystal, as listed in the Alexandria database.

Cell and atoms, written as POSCAR:
```
Tb3Sb2S2
1.0
15.300 0.000 0.000
0.000 4.149 0.000
-3.509 0.000 6.870
Tb Sb S
6 4 4
Direct
0.000 0.000 0.000
0.218 0.500 0.758
0.282 0.000 0.242
0.500 0.500 0.000
0.718 0.000 0.758
0.782 0.500 0.242
0.137 0.500 0.307
0.363 0.000 0.693
0.637 0.000 0.307
0.863 0.500 0.693
0.137 0.000 0.856
0.363 0.500 0.144
0.637 0.500 0.856
0.863 0.000 0.144
```

- symmetry = C2/m (12)
- volume (Å³ per atom) = 31.1
- uncorrected formation energy (eV per atom) = -1.354

---

4.
First-principles (PBE) data for a relaxed TbSbS4 crystal, as listed in the Alexandria database.

Cell and atoms, written as POSCAR:
```
TbSbS4
1.0
4.122 -6.730 0.000
4.122 6.730 0.000
-3.717 0.000 4.999
Tb Sb S
2 2 8
Direct
0.134 0.866 0.750
0.866 0.134 0.250
0.408 0.592 0.250
0.592 0.408 0.750
0.109 0.549 0.332
0.216 0.284 0.757
0.284 0.216 0.257
0.451 0.891 0.168
0.549 0.109 0.832
0.716 0.784 0.743
0.784 0.716 0.243
0.891 0.451 0.668
```

- symmetry = C2/c (15)
- volume (Å³ per atom) = 23.1
- uncorrected formation energy (eV per atom) = -0.784

---

Number 1: size of the total moment 0.01 Bohr magnetons per cell. Number 2: size of the total moment 0.00 Bohr magnetons per cell. Number 3: size of the total moment 0.00 Bohr magnetons per cell. Number 4: size of the total moment 0.00 Bohr magnetons per cell.